## SrNbH (PBE)

Data for a relaxed SrNbH crystal.

Computed properties:
Volume = 131.82 Å³ per cell
Total magnetic moment = 0.000 μB/f.u.
DFT total energy = -0.3682 Ry per atom

a = 3.7141 Å, b = 3.6387 Å, c = 9.7615 Å
α = 90.00°, β = 87.72°, γ = 90.00°
With the nearest neighbours (Å) after each atom.
Element x y z (fractional)
H (0.3745, 0.0000, 0.1589)  3 Nb 2.02-2.03
H (0.7355, 0.0000, 0.7887)  1 Nb 1.97
Nb (0.7091, 0.0000, 0.9911)  2 H 1.97-2.02
Nb (0.2220, 0.5000, 0.0900)  2 H 2.03
Sr (0.7752, 0.0000, 0.3557)  1 H 2.48
Sr (0.2458, 0.5000, 0.7402)  4 H 2.63-2.66